Entry 1:
Computed, not measured: crystalline MnSnAs2P at its relaxed geometry at the PBE-GGA level of DFT.

Results
Space-group type = P4/mmm, No. 123
Electronic total energy = -25.64 eV/cell
Calculated formation energy = 0.45 eV per atom
Density = 5.52 g/cm3

a b c (Å): 4.4762 4.4762 5.3192
angles (deg): 90.00 90.00 90.00
Element x y z (fractional)
Mn 0.0000 0.0000 0.0000
Sn 0.0000 0.0000 0.5000
As 0.0000 0.5000 0.0000
As 0.5000 0.0000 0.0000
P 0.5000 0.5000 0.5000

---

Entry 2:
Computed, not measured: crystalline Re3Au at its relaxed geometry at the PBE-GGA level of DFT.

Results
Space-group type = R-3m, No. 166
Electronic total energy = -39.72 eV/cell
Calculated formation energy = 0.22 eV per atom
Density = 20.07 g/cm3

a b c (Å): 9.4357 9.4357 9.4357
angles (deg): 16.98 16.98 16.98
Element x y z (fractional)
Re 0.0000 0.0000 0.0000
Re 0.2543 0.2543 0.2543
Re 0.7457 0.7457 0.7457
Au 0.5000 0.5000 0.5000

---

Entry 3:
Computed, not measured: crystalline NiGeRu at its relaxed geometry at the PBE-GGA level of DFT.

Results
Space-group type = P6_3mc, No. 186
Electronic total energy = -40.35 eV/cell
Calculated formation energy = -0.17 eV per atom
Density = 9.87 g/cm3

a b c (Å): 4.0550 4.0550 5.4916
angles (deg): 90.00 90.00 120.00
Element x y z (fractional)
Ni 0.3333 0.6667 0.0000
Ni 0.6667 0.3333 0.5000
Ge 0.3333 0.6667 0.4971
Ge 0.6667 0.3333 0.9971
Ru 0.0000 0.0000 0.2494
Ru 0.0000 0.0000 0.7494